Material: GdEr3
Method: DFT, PBE
State: relaxed

The structure belongs to space group Fm-3m (No. 225); the cell edges are 7.952, 7.952 and 7.952 Å and the angles 90.00°, 90.00° and 90.00°. Symmetry generates all atoms from Gd at (0.000, 0.000, 0.000), Er at (0.000, 0.000, 0.500) and Er at (0.250, 0.250, 0.250).

As for the offset from the most stable computed form: 0.1210 eV per atom. The calculation puts the spin magnetization at 2.169 μB/atom. Its crystal system is cubic. Its formation energy from the elements is 0.12 eV/atom.

=====

Material: AcPuIrPt
Method: DFT, PBE
State: relaxed

The structure belongs to space group F-43m (No. 216); the cell edges are 7.225, 7.225 and 7.225 Å and the angles 90.00°, 90.00° and 90.00°. Symmetry generates all atoms from Ac at (0.000, 0.000, 0.000), Pu at (0.000, 0.000, 0.500), Ir at (0.250, 0.250, 0.250) and Pt at (0.250, 0.250, 0.750).

The calculation puts the spin magnetization at 1.300 μB/atom. Its crystal system is cubic. Its formation energy from the elements is -0.58 eV/atom.

=====

Material: NdDy4Sc5
Method: DFT, PBE
State: relaxed

The structure belongs to space group I4mm (No. 107); the cell edges are 10.085, 10.085 and 5.705 Å and the angles 90.00°, 90.00° and 90.00°. Symmetry generates all atoms from Nd at (0.000, 0.000, 0.000), Dy at (0.000, 0.324, 0.732), Sc at (0.000, 0.000, 0.525) and Sc at (0.190, 0.190, 0.277).

The calculation puts the spin magnetization at 0.000 μB/atom. Its crystal system is tetragonal. Its formation energy from the elements is 0.25 eV/atom.

=====

Material: Y2Tl3BiTe6
Method: DFT, PBE
State: relaxed

The structure belongs to space group C2/m (No. 12); the cell edges are 7.797, 13.514 and 8.524 Å and the angles 90.00°, 107.77° and 90.00°. Symmetry generates all atoms from Y at (0.000, 0.167, 0.000), Tl at (0.000, 0.000, 0.500), Tl at (0.000, 0.334, 0.500), Bi at (0.000, 0.500, 0.000), Te at (0.233, 0.000, 0.216) and Te at (0.241, 0.331, 0.215).

The calculation puts the total energy at -4.37 eV/atom. The calculation puts the spin magnetization at 0.000 μB/atom. Its crystal system is monoclinic.

=====

Material: La2HoTm
Method: DFT, PBE
State: relaxed

The structure belongs to space group Cmmm (No. 65); the cell edges are 7.396, 9.840 and 3.710 Å and the angles 90.00°, 90.00° and 90.00°. Symmetry generates all atoms from La at (0.250, 0.250, 0.000), Ho at (0.000, 0.000, 0.500) and Tm at (0.000, 0.500, 0.500).

As for the offset from the most stable computed form: 0.0113 eV per atom. The calculation puts the spin magnetization at 0.000 μB/atom. Its crystal system is orthorhombic. Its formation energy from the elements is 0.03 eV/atom.

=====

Material: Mg2Cu2Pd
Method: DFT, PBE
State: relaxed

The structure belongs to space group P4/mbm (No. 127); the cell edges are 7.240, 7.240 and 2.997 Å and the angles 90.00°, 90.00° and 90.00°. Symmetry generates all atoms from Mg at (0.163, 0.337, 0.000), Cu at (0.132, 0.632, 0.500) and Pd at (0.000, 0.000, 0.000).

As for the offset from the most stable computed form: 0.2271 eV per atom. The calculation puts the spin magnetization at 0.000 μB/atom. Its crystal system is tetragonal. Its formation energy from the elements is -0.07 eV/atom.

=====

Material: CaSbPt2
Method: DFT, PBE
State: relaxed

The structure belongs to space group P4/mmm (No. 123); the cell edges are 3.638, 3.638 and 6.129 Å and the angles 90.00°, 90.00° and 90.00°. Symmetry generates all atoms from Ca at (0.000, 0.000, 0.000), Sb at (0.000, 0.000, 0.500) and Pt at (0.500, 0.500, 0.266).

The calculation puts the total energy at -5.09 eV/atom. The calculation puts the spin magnetization at 0.000 μB/atom. Its crystal system is tetragonal.

=====

Material: YPuInPt
Method: DFT, PBE
State: relaxed

The structure belongs to space group F-43m (No. 216); the cell edges are 7.290, 7.290 and 7.290 Å and the angles 90.00°, 90.00° and 90.00°. Symmetry generates all atoms from Y at (0.000, 0.000, 0.000), Pu at (0.000, 0.000, 0.500), In at (0.250, 0.250, 0.250) and Pt at (0.250, 0.250, 0.750).

The calculation puts the spin magnetization at 1.346 μB/atom. Its crystal system is cubic. Its formation energy from the elements is -0.50 eV/atom.